Record 1
Material: InCuPb
Method: DFT, GGA-PBE
State: relaxed

Computed properties:
The energy relative to the elements is 79 meV/atom.

abc: 4.0917 5.5245 6.7460
angles: 74.80 72.81 89.80
Fractional coordinates of all 6 atoms:
In 0.0795 0.2808 0.3528
In 0.9205 0.7192 0.6472
Cu 0.2706 0.6416 0.9547
Cu 0.7294 0.3584 0.0453
Pb 0.3527 0.1827 0.7905
Pb 0.6473 0.8173 0.2095

Record 2
Material: In8CuPb2
Method: DFT, GGA-PBE
State: relaxed

Computed properties:
The energy relative to the elements is 46 meV/atom.

abc: 4.7370 4.7370 13.2572
angles: 90.00 90.00 90.00
Fractional coordinates of all 11 atoms:
In 0.0000 0.0000 0.1942
In 0.0000 0.0000 0.8058
In 0.0000 0.5000 0.0000
In 0.0000 0.5000 0.3801
In 0.0000 0.5000 0.6199
In 0.5000 0.0000 0.0000
In 0.5000 0.0000 0.3801
In 0.5000 0.0000 0.6199
Cu 0.5000 0.5000 0.5000
Pb 0.5000 0.5000 0.1918
Pb 0.5000 0.5000 0.8082

Record 3
Material: In2CuPb
Method: DFT, GGA-PBE
State: relaxed

Computed properties:
The energy relative to the elements is 154 meV/atom.

abc: 4.9722 4.3915 5.0584
angles: 90.00 110.98 90.00
Fractional coordinates of all 4 atoms:
In 0.1851 0.0000 0.3092
In 0.8149 0.0000 0.6908
Cu 0.0000 0.5000 0.5000
Pb 0.5000 0.5000 0.0000

Record 4
Material: InCuPb
Method: DFT, GGA-PBE
State: relaxed

Computed properties:
The energy relative to the elements is 184 meV/atom.

abc: 4.4760 4.4760 4.2173
angles: 90.00 90.00 120.00
Fractional coordinates of all 3 atoms:
In 0.0000 0.0000 0.0000
Cu 0.3333 0.6667 0.8169
Pb 0.6667 0.3333 0.4907

Record 5
Material: In2CuPb
Method: DFT, GGA-PBE
State: relaxed

Computed properties:
The energy relative to the elements is 256 meV/atom.

abc: 6.3804 8.8651 3.4772
angles: 90.00 90.00 90.00
Fractional coordinates of all 8 atoms:
In 0.2500 0.2500 0.0000
In 0.2500 0.7500 0.0000
In 0.7500 0.2500 0.0000
In 0.7500 0.7500 0.0000
Cu 0.0000 0.0000 0.5000
Cu 0.5000 0.5000 0.5000
Pb 0.0000 0.5000 0.5000
Pb 0.5000 0.0000 0.5000

Record 6
Material: InCuPb
Method: DFT, GGA-PBE
State: relaxed

Computed properties:
The energy relative to the elements is 87 meV/atom.

abc: 5.5372 9.8657 5.6404
angles: 90.00 119.24 90.00
Fractional coordinates of all 12 atoms:
In 0.0000 0.1647 0.0000
In 0.0000 0.8353 0.0000
In 0.5000 0.3353 0.0000
In 0.5000 0.6647 0.0000
Cu 0.0000 0.2501 0.5000
Cu 0.0000 0.7499 0.5000
Cu 0.5000 0.2499 0.5000
Cu 0.5000 0.7501 0.5000
Pb 0.1620 0.5000 0.3243
Pb 0.3380 0.0000 0.6757
Pb 0.6620 0.0000 0.3243
Pb 0.8380 0.5000 0.6757

Record 7
Material: InCuPb
Method: DFT, GGA-PBE
State: relaxed

Computed properties:
The energy relative to the elements is 164 meV/atom.

abc: 3.6593 3.6593 6.1935
angles: 90.00 90.00 120.00
Fractional coordinates of all 3 atoms:
In 0.0000 0.0000 0.0000
Cu 0.6667 0.3333 0.7262
Pb 0.3333 0.6667 0.4261

Record 8
Material: InCuPb4
Method: DFT, GGA-PBE
State: relaxed

Computed properties:
The energy relative to the elements is 431 meV/atom.

abc: 6.4600 6.4600 6.4600
angles: 60.00 60.00 60.00
Fractional coordinates of all 6 atoms:
In 0.0000 0.0000 0.0000
Cu 0.2500 0.2500 0.2500
Pb 0.1258 0.6247 0.6247
Pb 0.6247 0.1258 0.6247
Pb 0.6247 0.6247 0.1258
Pb 0.6247 0.6247 0.6247

Record 9
Material: In2CuPb
Method: DFT, GGA-PBE
State: relaxed

Computed properties:
The energy relative to the elements is 108 meV/atom.

abc: 4.4589 4.4589 17.7753
angles: 90.00 90.00 120.00
Fractional coordinates of all 12 atoms:
In 0.0000 0.0000 0.0000
In 0.0000 0.0000 0.2238
In 0.3333 0.6667 0.6667
In 0.3333 0.6667 0.8905
In 0.6667 0.3333 0.3333
In 0.6667 0.3333 0.5572
Cu 0.0000 0.0000 0.6119
Cu 0.3333 0.6667 0.2785
Cu 0.6667 0.3333 0.9452
Pb 0.0000 0.0000 0.7791
Pb 0.3333 0.6667 0.4458
Pb 0.6667 0.3333 0.1124

Record 10
Material: In2CuPb
Method: DFT, GGA-PBE
State: relaxed

Computed properties:
The energy relative to the elements is 273 meV/atom.

abc: 7.3399 7.3399 7.3399
angles: 90.00 90.00 90.00
Fractional coordinates of all 16 atoms:
In 0.0000 0.0000 0.0000
In 0.0000 0.5000 0.5000
In 0.2500 0.2500 0.2500
In 0.2500 0.7500 0.7500
In 0.5000 0.0000 0.5000
In 0.5000 0.5000 0.0000
In 0.7500 0.2500 0.7500
In 0.7500 0.7500 0.2500
Cu 0.2500 0.2500 0.7500
Cu 0.2500 0.7500 0.2500
Cu 0.7500 0.2500 0.2500
Cu 0.7500 0.7500 0.7500
Pb 0.0000 0.0000 0.5000
Pb 0.0000 0.5000 0.0000
Pb 0.5000 0.0000 0.0000
Pb 0.5000 0.5000 0.5000

Record 11
Material: InCuPb
Method: DFT, GGA-PBE
State: relaxed

Computed properties:
The energy relative to the elements is 119 meV/atom.

abc: 3.6797 6.5206 6.9295
angles: 115.99 105.26 90.09
Fractional coordinates of all 6 atoms:
In 0.0000 0.0000 0.0000
In 0.2814 0.9231 0.5626
Cu 0.3996 0.6561 0.7996
Cu 0.6210 0.8779 0.2432
Pb 0.0108 0.4850 0.0257
Pb 0.7309 0.3780 0.4642

Record 12
Material: In2CuPb
Method: DFT, GGA-PBE
State: relaxed

Computed properties:
The energy relative to the elements is 146 meV/atom.

abc: 3.2117 5.3811 11.2688
angles: 90.00 90.00 90.00
Fractional coordinates of all 8 atoms:
In 0.0000 0.0000 0.2040
In 0.0000 0.0000 0.7960
In 0.5000 0.5000 0.2960
In 0.5000 0.5000 0.7040
Cu 0.0000 0.5000 0.5000
Cu 0.5000 0.0000 0.0000
Pb 0.0000 0.5000 0.0000
Pb 0.5000 0.0000 0.5000

Number 1: raw total energy -3.436 eV per atom, magnetization 0.00 μB/atom. Number 2: raw total energy -2.992 eV per atom, magnetization 0.00 μB/atom. Number 3: raw total energy -3.167 eV per atom, magnetization 0.00 μB/atom. Number 4: raw total energy -3.330 eV per atom, magnetization 0.00 μB/atom. Number 5: raw total energy -3.064 eV per atom, magnetization 0.00 μB/atom. Number 6: raw total energy -3.427 eV per atom, magnetization 0.00 μB/atom. Number 7: raw total energy -3.350 eV per atom, magnetization 0.00 μB/atom. Number 8: raw total energy -3.180 eV per atom, magnetization 0.00 μB/atom. Number 9: raw total energy -3.213 eV per atom, magnetization 0.00 μB/atom. Number 10: raw total energy -3.048 eV per atom, magnetization 0.00 μB/atom. Number 11: raw total energy -3.396 eV per atom, magnetization 0.00 μB/atom. Number 12: raw total energy -3.174 eV per atom, magnetization 0.00 μB/atom.